Record 1
# GGA-PBE Dy4ErTh3, relaxed
data_Dy4ErTh3
_space_group_name_H-M_alt 'P 1'
_space_group_IT_number 1
_space_group_name_Hall 'P 1'
_cell_length_a 5.023
_cell_length_b 10.074
_cell_length_c 10.065
_cell_angle_alpha 90.00
_cell_angle_beta 90.00
_cell_angle_gamma 90.00
loop_
_atom_site_label
_atom_site_type_symbol
_atom_site_fract_x
_atom_site_fract_y
_atom_site_fract_z
Er1 Er 0.064 0.377 0.000
Er2 Er 0.564 0.623 0.500
Th1 Th 0.564 0.624 0.000
Th2 Th 0.064 0.623 0.248
Th3 Th 0.564 0.377 0.252
Th4 Th 0.064 0.376 0.500
Th5 Th 0.564 0.377 0.748
Th6 Th 0.064 0.623 0.752
Dy1 Dy 0.064 0.870 0.000
Dy2 Dy 0.564 0.126 0.000
Dy3 Dy 0.064 0.127 0.251
Dy4 Dy 0.564 0.873 0.249
Dy5 Dy 0.064 0.874 0.500
Dy6 Dy 0.564 0.130 0.500
Dy7 Dy 0.564 0.873 0.751
Dy8 Dy 0.064 0.127 0.749
# total magnetic moment: 0.0 μB per formula unit
# SG: Pmmn, No. 59
# formation energy: 3 kJ per mole of atoms

=====

Record 2
# GGA-PBE GdHoSi, relaxed
data_GdHoSi
_space_group_name_H-M_alt 'P 1'
_space_group_IT_number 1
_space_group_name_Hall 'P 1'
_cell_length_a 3.818
_cell_length_b 3.818
_cell_length_c 5.680
_cell_angle_alpha 109.64
_cell_angle_beta 109.64
_cell_angle_gamma 90.00
loop_
_atom_site_label
_atom_site_type_symbol
_atom_site_fract_x
_atom_site_fract_y
_atom_site_fract_z
Si1 Si 0.279 0.279 0.558
Gd1 Gd 0.932 0.932 0.864
Ho1 Ho 0.639 0.639 0.278
# total magnetic moment: 8.5 μB per formula unit
# E_form (uncorrected): -7.96 kcal/mol of atoms
# SG: I4mm, No. 107

=====

Record 3
# GGA-PBE Tl2ZnNi, relaxed
data_Tl2ZnNi
_space_group_name_H-M_alt 'P 1'
_space_group_IT_number 1
_space_group_name_Hall 'P 1'
_cell_length_a 5.422
_cell_length_b 5.422
_cell_length_c 5.422
_cell_angle_alpha 140.57
_cell_angle_beta 121.51
_cell_angle_gamma 72.84
loop_
_atom_site_label
_atom_site_type_symbol
_atom_site_fract_x
_atom_site_fract_y
_atom_site_fract_z
Ni1 Ni 0.250 0.750 0.500
Tl1 Tl 0.026 0.026 0.000
Tl2 Tl 0.474 0.474 0.000
Zn1 Zn 0.750 0.250 0.500
# total magnetic moment: 0.0 μB per formula unit
# SG: Immm, No. 71
# formation energy: 36 kJ per mole of atoms

=====

Record 4
# GGA-PBE PaVPd2, relaxed
data_PaVPd2
_space_group_name_H-M_alt 'P 1'
_space_group_IT_number 1
_space_group_name_Hall 'P 1'
_cell_length_a 4.523
_cell_length_b 4.523
_cell_length_c 5.064
_cell_angle_alpha 63.47
_cell_angle_beta 63.47
_cell_angle_gamma 60.00
loop_
_atom_site_label
_atom_site_type_symbol
_atom_site_fract_x
_atom_site_fract_y
_atom_site_fract_z
Pa1 Pa 0.500 0.500 0.500
Pd1 Pd 0.720 0.720 0.840
Pd2 Pd 0.280 0.280 0.160
V1 V 0.000 0.000 0.000
# total magnetic moment: 2.7 μB per formula unit
# SG: R-3m, No. 166
# formation energy: -21 kJ per mole of atoms

=====

Record 5
# GGA-PBE YAlMo2, relaxed
data_YAlMo2
_space_group_name_H-M_alt 'P 1'
_space_group_IT_number 1
_space_group_name_Hall 'P 1'
_cell_length_a 2.835
_cell_length_b 2.835
_cell_length_c 9.088
_cell_angle_alpha 90.00
_cell_angle_beta 90.00
_cell_angle_gamma 97.31
loop_
_atom_site_label
_atom_site_type_symbol
_atom_site_fract_x
_atom_site_fract_y
_atom_site_fract_z
Y1 Y 0.500 0.500 0.250
Mo1 Mo 0.000 0.000 0.968
Mo2 Mo 0.000 0.000 0.532
Al1 Al 0.500 0.500 0.750
# total magnetic moment: 0.0 μB per formula unit
# SG: Cmmm, No. 65
# formation energy: 25 kJ per mole of atoms

=====

Record 6
# GGA-PBE La2CrPd2, relaxed
data_La2CrPd2
_space_group_name_H-M_alt 'P 1'
_space_group_IT_number 1
_space_group_name_Hall 'P 1'
_cell_length_a 5.675
_cell_length_b 5.675
_cell_length_c 5.716
_cell_angle_alpha 60.24
_cell_angle_beta 60.24
_cell_angle_gamma 90.00
loop_
_atom_site_label
_atom_site_type_symbol
_atom_site_fract_x
_atom_site_fract_y
_atom_site_fract_z
Cr1 Cr 0.000 0.000 0.000
Pd1 Pd 0.336 0.336 0.328
Pd2 Pd 0.664 0.664 0.672
La1 La 0.750 0.250 0.500
La2 La 0.250 0.750 0.500
# total magnetic moment: 4.2 μB per formula unit
# SG: I4/mmm, No. 139
# formation energy: -24 kJ per mole of atoms

=====

Record 7
# GGA-PBE TlSi2Ag, relaxed
data_TlSi2Ag
_space_group_name_H-M_alt 'P 1'
_space_group_IT_number 1
_space_group_name_Hall 'P 1'
_cell_length_a 5.068
_cell_length_b 5.068
_cell_length_c 5.068
_cell_angle_alpha 127.24
_cell_angle_beta 127.24
_cell_angle_gamma 77.86
loop_
_atom_site_label
_atom_site_type_symbol
_atom_site_fract_x
_atom_site_fract_y
_atom_site_fract_z
Ag1 Ag 0.750 0.250 0.500
Si1 Si 0.000 0.000 0.000
Si2 Si 0.250 0.750 0.500
Tl1 Tl 0.500 0.500 0.000
# total magnetic moment: 0.0 μB per formula unit
# E_form (uncorrected): 13.49 kcal/mol of atoms
# SG: I-4m2, No. 119

=====

Record 8
# GGA-PBE ErTm2Se4, relaxed
data_ErTm2Se4
_space_group_name_H-M_alt 'P 1'
_space_group_IT_number 1
_space_group_name_Hall 'P 1'
_cell_length_a 3.920
_cell_length_b 6.911
_cell_length_c 13.653
_cell_angle_alpha 90.00
_cell_angle_beta 90.00
_cell_angle_gamma 106.47
loop_
_atom_site_label
_atom_site_type_symbol
_atom_site_fract_x
_atom_site_fract_y
_atom_site_fract_z
Er1 Er 0.628 0.256 0.750
Er2 Er 0.372 0.744 0.250
Tm1 Tm 0.130 0.260 0.430
Tm2 Tm 0.870 0.740 0.930
Tm3 Tm 0.130 0.260 0.070
Tm4 Tm 0.870 0.740 0.570
Se1 Se 0.777 0.554 0.122
Se2 Se 0.777 0.554 0.378
Se3 Se 0.223 0.446 0.878
Se4 Se 0.223 0.446 0.622
Se5 Se 0.971 0.942 0.750
Se6 Se 0.029 0.058 0.250
Se7 Se 0.500 0.000 0.000
Se8 Se 0.500 0.000 0.500
# total magnetic moment: 0.0 μB per formula unit
# E_form (uncorrected): -41.40 kcal/mol of atoms
# SG: Cmcm, No. 63